# 1
Here is a geometry-optimized Pr3ErAg4 structure from the Alexandria database. Energies are from PBE.

Lattice parameters (Å, degrees): 3.7091 3.7091 15.1860 90.00 90.00 90.00
Fractional coordinates of all 8 atoms:
Pr1 0.5000 0.5000 0.2439
Pr2 0.5000 0.5000 0.5000
Pr3 0.5000 0.5000 0.7561
Ag1 0.0000 0.0000 0.8901
Ag2 0.0000 0.0000 0.1099
Ag3 0.0000 0.0000 0.3728
Ag4 0.0000 0.0000 0.6272
Er1 0.5000 0.5000 0.0000

Results
Density of states at the Fermi level ... 6.3 states/eV/cell
VASP energy ... -4.0554 eV per atom
Energy of formation ... -0.267 eV per atom
Size of the total moment ... 0.00 μB/f.u.

# 2
Here is a geometry-optimized PmErP2Rh5 structure from the Alexandria database. Energies are from PBE.

Lattice parameters (Å, degrees): 4.0545 4.0545 10.6359 90.00 90.00 90.00
Fractional coordinates of all 9 atoms:
Pm1 0.0000 0.0000 0.5000
Er1 0.0000 0.0000 0.0000
P1 0.5000 0.5000 0.2868
P2 0.5000 0.5000 0.7132
Rh1 0.0000 0.5000 0.1936
Rh2 0.5000 0.0000 0.1936
Rh3 0.0000 0.5000 0.8064
Rh4 0.5000 0.0000 0.8064
Rh5 0.5000 0.5000 0.5000

Results
Density of states at the Fermi level ... 3.9 states/eV/cell
VASP energy ... -7.0870 eV per atom
Energy of formation ... -0.766 eV per atom
Size of the total moment ... 0.00 μB/f.u.